Material: U2Tc3Sn2
Method: DFT, PBE-GGA
State: optimized geometry

Lattice parameters (Å, degrees): 4.6877 5.0178 6.8073 97.46 110.14 90.00
Last column: nearest neighbours and their distance in Å.
Element x y z (fractional)
Tc: 0.0000 0.0000 0.0000  2 U 2.49
Sn: 0.4111 0.1796 0.8223  5 Tc 2.81-2.94, 1 Sn 3.09
Tc: 0.2104 0.8131 0.4209  1 U 2.27
U: 0.8462 0.6358 0.6924  2 Tc 2.27-2.49
U: 0.1538 0.3642 0.3076  2 Tc 2.27-2.49
Tc: 0.7896 0.1869 0.5791  1 U 2.27
Sn: 0.5889 0.8204 0.1777  5 Tc 2.81-2.94, 1 Sn 3.09

Results
VASP energy   -0.329 Ha/atom
Formation energy   -0.152 eV/atom
Space group   C2/m (12)

***

Material: Pr4NdSmS8
Method: DFT, PBE-GGA
State: optimized geometry

Lattice parameters (Å, degrees): 8.3836 8.3836 8.3742 59.96 59.96 60.00
Last column: nearest neighbours and their distance in Å.
Element x y z (fractional)
Nd: 0.0009 0.0009 0.9974  6 S 2.86-2.87
S: 0.2433 0.7670 0.7464  1 Sm 2.68, 1 Nd 2.87, 2 Pr 2.89
S: 0.7670 0.2433 0.7464  1 Sm 2.68, 1 Nd 2.87, 2 Pr 2.89
Pr: 0.4978 0.0008 0.5007  6 S 2.88-2.89
S: 0.2433 0.2433 0.7464  1 Sm 2.68, 1 Nd 2.87, 2 Pr 2.89
Pr: 0.6247 0.6247 0.1260  4 S 2.73-2.74
Sm: 0.3751 0.3751 0.8747  4 S 2.67-2.68
S: 0.7578 0.7578 0.7266  4 Pr 2.73-2.88
Pr: 0.0008 0.4978 0.5007  6 S 2.88-2.89
S: 0.2446 0.2446 0.2661  1 Sm 2.67, 3 Pr 2.89
S: 0.7595 0.2250 0.2560  3 Pr 2.74-2.88, 1 Nd 2.86
S: 0.2250 0.7595 0.2560  3 Pr 2.74-2.88, 1 Nd 2.86
Pr: 0.0008 0.0008 0.5007  6 S 2.88-2.89
S: 0.7595 0.7595 0.2560  3 Pr 2.74-2.88, 1 Nd 2.86

Results
Formation energy without anion corrections   -1.9000 eV per atom
VASP energy   -0.232 Ha/atom
Space group   R3m (160)

***

Material: LiYMn2
Method: DFT, PBE-GGA
State: optimized geometry

Lattice parameters (Å, degrees): 3.1762 3.1805 7.9584 66.42 90.00 90.00
Last column: nearest neighbours and their distance in Å.
Element x y z (fractional)
Mn: 0.0000 0.9657 0.0346  4 Mn 2.51-2.52, 4 Li 2.80
Li: 0.5000 0.6941 0.8060  5 Mn 2.80
Y: 0.0000 0.5295 0.4701  5 Mn 3.04-3.18, 4 Y 3.18, 4 Li 3.32-3.33
Mn: 0.5000 0.3106 0.1893  4 Mn 2.51-2.52, 1 Li 2.80

Results
VASP energy   -0.236 Ha/atom
Formation energy   0.245 eV/atom
Space group   P4mm (99)
Distance to the lowest polymorph of the same formula   0.0 meV per atom

***

Material: ScMn2SiC
Method: DFT, PBE-GGA
State: optimized geometry

Lattice parameters (Å, degrees): 3.5225 5.5288 6.8985 90.00 90.00 108.58
Last column: nearest neighbours and their distance in Å.
Element x y z (fractional)
C: 0.0000 0.0000 0.0000  2 Mn 1.80
Mn: 0.1671 0.3342 0.5601  1 C 1.80
Sc: 0.5387 0.0773 0.2500  4 C 2.50
Mn: 0.8329 0.6658 0.0601  1 C 1.80
C: 0.0000 0.0000 0.5000  2 Mn 1.80
Si: 0.2593 0.5187 0.2500  6 Mn 2.33-2.35
Mn: 0.1671 0.3342 0.9399  1 C 1.80
Sc: 0.4613 0.9227 0.7500  4 C 2.50
Mn: 0.8329 0.6658 0.4399  1 C 1.80
Si: 0.7407 0.4813 0.7500  6 Mn 2.33-2.35

Results
Formation energy without anion corrections   -0.4753 eV per atom
VASP energy   -0.306 Ha/atom
Space group   Cmcm (63)

***

Material: Er3Al8Pd3
Method: DFT, PBE-GGA
State: optimized geometry

Lattice parameters (Å, degrees): 4.3861 8.1033 8.1748 69.52 74.44 74.30
Last column: nearest neighbours and their distance in Å.
Element x y z (fractional)
Al: 0.6511 0.9786 0.7191  1 Pd 2.53, 4 Al 2.65-2.79
Er: 0.7138 0.2803 0.2922  10 Al 3.00-3.23, 2 Pd 3.14
Al: 0.4959 0.3372 0.6710  3 Pd 2.54-2.69, 1 Al 2.71
Al: 0.1367 0.1530 0.5736  1 Pd 2.59, 5 Al 2.65-2.85
Er: 0.0000 0.0000 0.0000  8 Al 3.15-3.22, 4 Pd 3.16
Pd: 0.6478 0.7092 0.9952  5 Al 2.53-2.65
Al: 0.3489 0.0214 0.2809  1 Pd 2.53, 4 Al 2.65-2.79
Pd: 0.3522 0.2908 0.0048  5 Al 2.53-2.65
Al: 0.1491 0.5670 0.1348  4 Pd 2.55-2.76
Al: 0.8509 0.4330 0.8652  4 Pd 2.55-2.76
Al: 0.8633 0.8470 0.4264  1 Pd 2.59, 5 Al 2.65-2.85
Pd: 0.0000 0.5000 0.5000  8 Al 2.59-2.76
Er: 0.2862 0.7197 0.7078  10 Al 3.00-3.23, 2 Pd 3.14
Al: 0.5041 0.6628 0.3290  3 Pd 2.54-2.69, 1 Al 2.71

Results
VASP energy   -0.181 Ha/atom
Formation energy   -0.695 eV/atom
Space group   C2/m (12)

***

Material: KScTa
Method: DFT, PBE-GGA
State: optimized geometry

Lattice parameters (Å, degrees): 4.9501 4.9501 4.9501 60.00 60.00 60.00
Last column: nearest neighbours and their distance in Å.
Element x y z (fractional)
Sc: 0.0000 0.0000 0.0000  4 K 3.03
K: 0.7500 0.7500 0.7500  4 Sc 3.03, 4 Ta 3.03
Ta: 0.5000 0.5000 0.5000  4 K 3.03

Results
VASP energy   -0.149 Ha/atom
Formation energy   2.369 eV/atom
Space group   F-43m (216)
Distance to the lowest polymorph of the same formula   1750.9 meV per atom

***

Material: BaPtCl
Method: DFT, PBE-GGA
State: optimized geometry

Lattice parameters (Å, degrees): 5.6353 5.6353 5.6353 134.01 134.05 67.04
Last column: nearest neighbours and their distance in Å.
Element x y z (fractional)
Cl: 0.3643 0.3643 0.0000  1 Pt 2.45
Ba: 0.0112 0.0112 0.0000  5 Pt 3.29-3.63, 5 Cl 3.32-3.40
Pt: 0.6245 0.6245 0.0000  1 Cl 2.45

Results
Formation energy without anion corrections   -0.7865 eV per atom
VASP energy   -0.149 Ha/atom
Space group   I4mm (107)
Distance to the lowest polymorph of the same formula   0.0 meV per atom

***

Material: Ce8IrPt3I4
Method: DFT, PBE-GGA
State: optimized geometry

Lattice parameters (Å, degrees): 8.4633 9.3092 8.4611 117.02 120.01 90.00
Last column: nearest neighbours and their distance in Å.
Element x y z (fractional)
Ce: 0.7737 0.3106 0.5474  1 Ir 2.82, 2 Pt 2.89
I: 0.5000 0.0000 0.0000  6 Ce 3.50
Ce: 0.2264 0.6895 0.9630  1 Ir 2.83, 2 Pt 2.89
Ce: 0.2263 0.6894 0.4526  1 Ir 2.82, 2 Pt 2.89
Pt: 0.5000 0.5000 0.5000  6 Ce 2.87-2.89
Pt: 0.0000 0.5000 0.5000  6 Ce 2.87-2.89
Ce: 0.7736 0.3105 0.0370  1 Ir 2.83, 2 Pt 2.89
I: 0.0000 0.0000 0.0000  6 Ce 3.45-3.47
Ce: 0.7366 0.6895 0.9630  1 Ir 2.83, 2 Pt 2.89
Pt: 0.5000 0.5000 0.0000  6 Ce 2.87-2.89
I: 0.0000 0.0000 0.5000  6 Ce 3.45-3.46
Ce: 0.2701 0.3100 0.5401  3 Pt 2.87
I: 0.5000 0.0000 0.5000  6 Ce 3.45-3.46
Ir: 0.0000 0.5000 0.0000  6 Ce 2.82-2.83
Ce: 0.2634 0.3105 0.0370  1 Ir 2.83, 2 Pt 2.89
Ce: 0.7299 0.6900 0.4599  3 Pt 2.87

Results
Formation energy without anion corrections   -0.9830 eV per atom
VASP energy   -0.221 Ha/atom
Space group   R-3m (166)

***

Material: Rb4HAu
Method: DFT, PBE-GGA
State: optimized geometry

Lattice parameters (Å, degrees): 7.0223 7.0665 12.2631 90.00 90.00 103.74
Last column: nearest neighbours and their distance in Å.
Element x y z (fractional)
Rb: 0.8640 0.2655 0.7500  1 H 2.80
Rb: 0.7210 0.7215 0.5472  1 H 2.80
H: 0.8661 0.8704 0.7500  4 Rb 2.80
Rb: 0.2790 0.2785 0.4528  1 H 2.80
Rb: 0.1360 0.7345 0.2500  1 H 2.80
H: 0.1339 0.1296 0.2500  4 Rb 2.80
Rb: 0.2790 0.2785 0.0472  1 H 2.80
Rb: 0.7210 0.7215 0.9528  1 H 2.80
Rb: 0.2644 0.8670 0.7500  1 H 2.80
Au: 0.6041 0.6010 0.2500  8 Rb 3.63-3.79
Rb: 0.7356 0.1330 0.2500  1 H 2.80
Au: 0.3959 0.3990 0.7500  8 Rb 3.63-3.79

Results
VASP energy   -0.067 Ha/atom
Space group   P2_1/m (11)
Distance to the lowest polymorph of the same formula   15.6 meV per atom

***

Material: RbNa3Cr
Method: DFT, PBE-GGA
State: optimized geometry

Lattice parameters (Å, degrees): 6.1145 6.1145 6.1145 90.00 90.00 90.00
Last column: nearest neighbours and their distance in Å.
Element x y z (fractional)
Rb: 0.5000 0.5000 0.5000  12 Na 4.32
Cr: 0.0000 0.0000 0.0000  6 Na 3.06
Na: 0.0000 0.0000 0.5000  2 Cr 3.06
Na: 0.0000 0.5000 0.0000  2 Cr 3.06
Na: 0.5000 0.0000 0.0000  2 Cr 3.06

Results
VASP energy   -0.087 Ha/atom
Formation energy   0.535 eV/atom
Space group   Pm-3m (221)
Distance to the lowest polymorph of the same formula   0.0 meV per atom

***

Material: TbZn2Cu9
Method: DFT, PBE-GGA
State: optimized geometry

Lattice parameters (Å, degrees): 6.5878 7.8638 7.8638 79.90 65.24 65.24
Last column: nearest neighbours and their distance in Å.
Element x y z (fractional)
Cu: 0.3183 0.6701 0.0853  7 Cu 2.47-2.75, 2 Zn 2.49-2.51
Cu: 0.0737 0.9147 0.3299  7 Cu 2.47-2.75, 2 Zn 2.49-2.51
Cu: 0.0737 0.3299 0.9147  7 Cu 2.47-2.75, 2 Zn 2.49-2.51
Tb: 0.2500 0.5000 0.5000  18 Cu 3.15-3.29
Tb: 0.5000 0.0000 0.0000  18 Cu 3.15-3.29
Cu: 0.0116 0.9147 0.6701  7 Cu 2.47-2.75, 2 Zn 2.49-2.51
Cu: 0.7500 0.5000 0.5000  4 Zn 2.66, 8 Cu 2.75
Cu: 0.5964 0.3299 0.0853  7 Cu 2.47-2.75, 2 Zn 2.49-2.51
Cu: 0.0116 0.6701 0.9147  7 Cu 2.47-2.75, 2 Zn 2.49-2.51
Cu: 0.1536 0.4147 0.1701  7 Cu 2.47-2.75, 2 Zn 2.49-2.51
Zn: 0.8750 0.2500 0.7500  10 Cu 2.49-2.66
Cu: 0.7384 0.5853 0.8299  7 Cu 2.47-2.75, 2 Zn 2.49-2.51
Cu: 0.4317 0.8299 0.4147  7 Cu 2.47-2.75, 2 Zn 2.49-2.51
Cu: 0.0000 0.0000 0.0000  4 Zn 2.66, 8 Cu 2.75
Cu: 0.5964 0.0853 0.3299  7 Cu 2.47-2.75, 2 Zn 2.49-2.51
Cu: 0.6763 0.5853 0.1701  7 Cu 2.47-2.75, 2 Zn 2.49-2.51
Zn: 0.8750 0.7500 0.2500  10 Cu 2.49-2.66
Zn: 0.8750 0.2500 0.2500  10 Cu 2.49-2.66
Cu: 0.3183 0.0853 0.6701  7 Cu 2.47-2.75, 2 Zn 2.49-2.51
Zn: 0.3750 0.7500 0.7500  10 Cu 2.49-2.66
Cu: 0.7384 0.8299 0.5853  7 Cu 2.47-2.75, 2 Zn 2.49-2.51
Cu: 0.1536 0.1701 0.4147  7 Cu 2.47-2.75, 2 Zn 2.49-2.51
Cu: 0.6763 0.1701 0.5853  7 Cu 2.47-2.75, 2 Zn 2.49-2.51
Cu: 0.4317 0.4147 0.8299  7 Cu 2.47-2.75, 2 Zn 2.49-2.51

Results
VASP energy   -0.139 Ha/atom
Formation energy   -0.116 eV/atom
Space group   I4_1/amd (141)
Distance to the lowest polymorph of the same formula   0.0 meV per atom

***

Material: AcTbDy2Ho5
Method: DFT, PBE-GGA
State: optimized geometry

Lattice parameters (Å, degrees): 8.9615 8.9615 9.8011 117.20 117.20 90.00
Last column: nearest neighbours and their distance in Å.
Element x y z (fractional)
Dy: 0.8870 0.6130 0.0000  1 Dy 2.87, 2 Ho 3.01
Ho: 0.9243 0.4243 0.2546  1 Dy 3.01, 1 Tb 3.16
Ho: 0.0000 0.0000 0.0000  4 Dy 3.61, 2 Ac 3.74, 8 Ho 3.74
Ho: 0.8303 0.9243 0.2546  1 Dy 3.01, 1 Tb 3.16
Tb: 0.2500 0.7500 0.5000  4 Ho 3.16
Ho: 0.3303 0.8303 0.2546  1 Dy 3.01, 1 Tb 3.16
Tb: 0.7500 0.2500 0.5000  4 Ho 3.16
Dy: 0.1130 0.3870 0.0000  1 Dy 2.87, 2 Ho 3.01
Ac: 0.2500 0.2500 0.5000  10 Ho 3.71-3.74
Ho: 0.1697 0.0757 0.7454  1 Dy 3.01, 1 Tb 3.16
Ac: 0.7500 0.7500 0.5000  10 Ho 3.71-3.74
Ho: 0.6697 0.1697 0.7454  1 Dy 3.01, 1 Tb 3.16
Ho: 0.5000 0.5000 0.0000  4 Dy 3.61, 2 Ac 3.74, 8 Ho 3.74
Ho: 0.0757 0.5757 0.7454  1 Dy 3.01, 1 Tb 3.16
Dy: 0.6130 0.1130 0.0000  1 Dy 2.87, 2 Ho 3.01
Ho: 0.5757 0.6697 0.7454  1 Dy 3.01, 1 Tb 3.16
Dy: 0.3870 0.8870 0.0000  1 Dy 2.87, 2 Ho 3.01
Ho: 0.4243 0.3303 0.2546  1 Dy 3.01, 1 Tb 3.16

Results
VASP energy   -0.156 Ha/atom
Formation energy   0.281 eV/atom
Space group   I4/mcm (140)

***

no.,total magnetization (μB per cell)
1,0.00
2,0.00
3,0.87
4,4.70
5,0.00
6,0.00
7,0.98
8,8.56
9,0.00
10,5.35
11,0.00
12,0.00